Material: NaNbRe2Sn
Method: DFT, GGA-PBEsol
State: optimized geometry

Cell: 4.7927 4.7927 5.3223 Å, 90.00 90.00 90.00°
With the nearest neighbours (Å) after each atom.
Space group P4/mmm (No. 123)
One atom of each set of equivalent atoms:
Na 0.0000 0.0000 0.0000 (multiplicity 1)  4 Sn 3.39, 8 Re 3.58
Nb 0.5000 0.5000 0.5000 (multiplicity 1)  4 Re 2.40, 2 Sn 2.66
Re 0.0000 0.5000 0.5000 (multiplicity 2)  2 Nb 2.40
Sn 0.5000 0.5000 0.0000 (multiplicity 1)  2 Nb 2.66

As for the energy: -6.89 eV/atom.

Material: NaNb2Rh
Method: DFT, GGA-PBEsol
State: optimized geometry

Cell: 6.4257 6.4257 6.4257 Å, 90.00 90.00 90.00°
With the nearest neighbours (Å) after each atom.
Space group Fm-3m (No. 225)
One atom of each set of equivalent atoms:
Na 0.0000 0.0000 0.0000 (multiplicity 4)  8 Nb 2.78
Nb 0.2500 0.2500 0.2500 (multiplicity 8)  4 Na 2.78, 4 Rh 2.78
Rh 0.0000 0.0000 0.5000 (multiplicity 4)  8 Nb 2.78

As for the energy: -7.20 eV/atom.

Material: NaNbRh3
Method: DFT, GGA-PBEsol
State: optimized geometry

Cell: 4.7094 4.7094 4.7094 Å, 90.00 90.00 90.00°
With the nearest neighbours (Å) after each atom.
Space group Pm-3m (No. 221)
One atom of each set of equivalent atoms:
Na 0.0000 0.0000 0.0000 (multiplicity 1)  12 Rh 3.33
Nb 0.5000 0.5000 0.5000 (multiplicity 1)  6 Rh 2.35
Rh 0.0000 0.5000 0.5000 (multiplicity 3)  2 Nb 2.35

As for the energy: -6.47 eV/atom.

Material: Na3NbRh
Method: DFT, GGA-PBEsol
State: optimized geometry

Cell: 5.5384 5.5384 5.5384 Å, 90.00 90.00 90.00°
With the nearest neighbours (Å) after each atom.
Space group Pm-3m (No. 221)
One atom of each set of equivalent atoms:
Na 0.0000 0.0000 0.5000 (multiplicity 3)  2 Nb 2.77
Nb 0.0000 0.0000 0.0000 (multiplicity 1)  6 Na 2.77
Rh 0.5000 0.5000 0.5000 (multiplicity 1)  12 Na 3.92

As for the energy: -2.51 eV/atom. Its energy above the most stable polymorph in this dataset is 563 meV/atom.

Material: Na3NbRh
Method: DFT, GGA-PBEsol
State: optimized geometry

Cell: 5.1386 5.1386 5.1386 Å, 90.00 90.00 90.00°
With the nearest neighbours (Å) after each atom.
Space group Pm-3m (No. 221)
One atom of each set of equivalent atoms:
Na 0.0000 0.0000 0.5000 (multiplicity 3)  2 Rh 2.57
Nb 0.5000 0.5000 0.5000 (multiplicity 1)  12 Na 3.63
Rh 0.0000 0.0000 0.0000 (multiplicity 1)  6 Na 2.57

As for the energy: -3.07 eV/atom. Its energy above the most stable polymorph in this dataset is 0 meV/atom.

Material: NaNbRu3
Method: DFT, GGA-PBEsol
State: optimized geometry

Cell: 4.3070 4.3070 4.3070 Å, 90.00 90.00 90.00°
With the nearest neighbours (Å) after each atom.
Space group Pm-3m (No. 221)
One atom of each set of equivalent atoms:
Na 0.0000 0.0000 0.0000 (multiplicity 1)  6 Ru 2.15
Nb 0.5000 0.5000 0.5000 (multiplicity 1)  12 Ru 3.05
Ru 0.0000 0.0000 0.5000 (multiplicity 3)  2 Na 2.15

As for the energy: -6.44 eV/atom.

Going through the records in order, we get density values of 8.2, 7.8, 6.8, 2.6, 3.2, 8.7 g/cm3.
Going through the records in order, we get formation enthalpy at 0 K values of 1.737, 0.591, 0.859, 2.124, 1.562, 2.108 eV/atom.